Compound: GdAl7Au3
Source: the Open Quantum Materials Database
Functional: PBE
Structure: optimized geometry

It has space group R-3c (No. 167, hexagonal axes), with a = 8.1101 Å, b = 8.1101 Å, c = 21.1093 Å, α = 90.00°, β = 90.00° and γ = 120.00°. The distinct sites, in fractional coordinates, are Gd at (0.0000, 0.0000, 0.0000), Al at (0.0000, 0.0000, 0.2500), Al at (0.0103, 0.2061, 0.1367) and Au at (0.0000, 0.3232, 0.2500).

***

Compound: GdAl4Ge2Au
Source: the Open Quantum Materials Database
Functional: PBE
Structure: optimized geometry

It has space group R-3m (No. 166, hexagonal axes), with a = 4.2452 Å, b = 4.2452 Å, c = 31.1144 Å, α = 90.00°, β = 90.00° and γ = 120.00°. The distinct sites, in fractional coordinates, are Gd at (0.0000, 0.0000, 0.0000), Al at (0.0000, 0.0000, 0.1926), Al at (0.0000, 0.0000, 0.4162), Ge at (0.0000, 0.0000, 0.2775) and Au at (0.0000, 0.0000, 0.5000).

***

Compound: GdHo2Al3NiAu2
Source: the Open Quantum Materials Database
Functional: PBE
Structure: optimized geometry

It has space group Amm2 (No. 38), with a = 4.087 Å, b = 12.430 Å, c = 7.165 Å, α = 90.00°, β = 90.00° and γ = 90.00°. The distinct sites, in fractional coordinates, are Gd at (0.000, 0.000, 0.000), Ho at (0.000, 0.200, 0.602), Al at (0.500, 0.000, 0.627), Al at (0.500, 0.112, 0.291), Ni at (0.000, 0.000, 0.405) and Au at (0.500, 0.169, 0.901).

***

Compound: Gd3Mg3AlAu2
Source: the Open Quantum Materials Database
Functional: PBE
Structure: optimized geometry

It has space group P-62m (No. 189), with a = 7.5655 Å, b = 7.5655 Å, c = 4.2801 Å, α = 90.00°, β = 90.00° and γ = 120.00°. The distinct sites, in fractional coordinates, are Gd at (0.0000, 0.5816, 0.0000), Mg at (0.0000, 0.2450, 0.5000), Al at (0.0000, 0.0000, 0.0000) and Au at (0.3333, 0.6667, 0.5000).

***

Compound: Gd3MgAl2Pt2Au
Source: the Open Quantum Materials Database
Functional: PBE
Structure: optimized geometry

It has space group Amm2 (No. 38), with a = 4.041 Å, b = 12.659 Å, c = 7.419 Å, α = 90.00°, β = 90.00° and γ = 90.00°. The distinct sites, in fractional coordinates, are Gd at (0.000, 0.000, 0.000), Gd at (0.000, 0.210, 0.620), Mg at (0.500, 0.000, 0.659), Al at (0.500, 0.125, 0.285), Pt at (0.500, 0.172, 0.918) and Au at (0.000, 0.000, 0.404).

***

Compound: NdGd2Al3PtAu2
Source: the Open Quantum Materials Database
Functional: PBE
Structure: optimized geometry

It has space group Amm2 (No. 38), with a = 4.155 Å, b = 12.658 Å, c = 7.333 Å, α = 90.00°, β = 90.00° and γ = 90.00°. The distinct sites, in fractional coordinates, are Nd at (0.000, 0.000, 0.000), Gd at (0.000, 0.205, 0.617), Al at (0.500, 0.000, 0.641), Al at (0.500, 0.115, 0.299), Pt at (0.000, 0.000, 0.417) and Au at (0.500, 0.171, 0.910).

***

Compound: Gd2Al4NiAu
Source: the Open Quantum Materials Database
Functional: PBE
Structure: optimized geometry

It has space group Amm2 (No. 38), with a = 6.885 Å, b = 4.281 Å, c = 10.366 Å, α = 90.00°, β = 90.00° and γ = 90.00°. The distinct sites, in fractional coordinates, are Gd at (0.000, 0.000, 0.000), Gd at (0.500, 0.000, 0.138), Al at (0.209, 0.000, 0.718), Al at (0.313, 0.000, 0.428), Ni at (0.500, 0.000, 0.862) and Au at (0.000, 0.000, 0.283).

***

Compound: Gd2TmAl3NiAu2
Source: the Open Quantum Materials Database
Functional: PBE
Structure: optimized geometry

It has space group Amm2 (No. 38), with a = 4.093 Å, b = 12.415 Å, c = 7.192 Å, α = 90.00°, β = 90.00° and γ = 90.00°. The distinct sites, in fractional coordinates, are Gd at (0.000, 0.201, 0.000), Tm at (0.000, 0.000, 0.400), Al at (0.500, 0.000, 0.022), Al at (0.500, 0.112, 0.685), Ni at (0.000, 0.000, 0.794) and Au at (0.500, 0.163, 0.301).

***

Compound: GdTm2Al3NiAu2
Source: the Open Quantum Materials Database
Functional: PBE
Structure: optimized geometry

It has space group Amm2 (No. 38), with a = 4.074 Å, b = 12.378 Å, c = 7.118 Å, α = 90.00°, β = 90.00° and γ = 90.00°. The distinct sites, in fractional coordinates, are Gd at (0.000, 0.000, 0.000), Tm at (0.000, 0.200, 0.397), Al at (0.500, 0.000, 0.371), Al at (0.500, 0.113, 0.708), Ni at (0.000, 0.000, 0.592) and Au at (0.500, 0.170, 0.098).

***

Compound: GdTm2Al3PtAu2
Source: the Open Quantum Materials Database
Functional: PBE
Structure: optimized geometry

It has space group Amm2 (No. 38), with a = 3.924 Å, b = 12.765 Å, c = 7.344 Å, α = 90.00°, β = 90.00° and γ = 90.00°. The distinct sites, in fractional coordinates, are Gd at (0.000, 0.000, 0.000), Tm at (0.000, 0.204, 0.385), Al at (0.500, 0.000, 0.349), Al at (0.500, 0.120, 0.707), Pt at (0.000, 0.000, 0.584) and Au at (0.500, 0.170, 0.090).

***

Compound: GdAl8SiAu4
Source: the Open Quantum Materials Database
Functional: PBE
Structure: optimized geometry

It has space group I4/mmm (No. 139), with a = 6.022 Å, b = 6.022 Å, c = 28.897 Å, α = 90.00°, β = 90.00° and γ = 90.00°. The distinct sites, in fractional coordinates, are Gd at (0.000, 0.500, 0.250), Al at (0.248, 0.248, 0.157), Al at (0.250, 0.250, 0.053), Si at (0.000, 0.000, 0.208), Au at (0.000, 0.000, 0.000), Au at (0.000, 0.000, 0.292), Au at (0.000, 0.000, 0.500) and Au at (0.000, 0.500, 0.105).

***

Compound: AlGe2Au
Source: the Open Quantum Materials Database
Functional: PBE
Structure: optimized geometry

It has space group F-43m (No. 216), with a = 6.671 Å, b = 6.671 Å, c = 6.671 Å, α = 90.00°, β = 90.00° and γ = 90.00°. The distinct sites, in fractional coordinates, are Al at (0.000, 0.000, 0.000), Ge at (0.000, 0.000, 0.500), Ge at (0.250, 0.250, 0.750) and Au at (0.250, 0.250, 0.250).

***

Compound: TbHo2Al3Ge2Au
Source: the Open Quantum Materials Database
Functional: PBE
Structure: optimized geometry

It has space group Amm2 (No. 38), with a = 4.267 Å, b = 12.217 Å, c = 7.038 Å, α = 90.00°, β = 90.00° and γ = 90.00°. The distinct sites, in fractional coordinates, are Tb at (0.000, 0.000, 0.000), Ho at (0.000, 0.207, 0.380), Al at (0.500, 0.000, 0.348), Al at (0.500, 0.119, 0.705), Ge at (0.500, 0.168, 0.087) and Au at (0.000, 0.000, 0.583).

***

Compound: Ho2TmAl3Ge2Au
Source: the Open Quantum Materials Database
Functional: PBE
Structure: optimized geometry

It has space group Amm2 (No. 38), with a = 4.244 Å, b = 12.131 Å, c = 7.023 Å, α = 90.00°, β = 90.00° and γ = 90.00°. The distinct sites, in fractional coordinates, are Ho at (0.000, 0.207, 0.000), Tm at (0.000, 0.000, 0.623), Al at (0.500, 0.000, 0.970), Al at (0.500, 0.120, 0.327), Ge at (0.500, 0.166, 0.707) and Au at (0.000, 0.000, 0.212).

***

Compound: YHo2Al3Ge2Au
Source: the Open Quantum Materials Database
Functional: PBE
Structure: optimized geometry

It has space group Amm2 (No. 38), with a = 4.240 Å, b = 12.224 Å, c = 7.057 Å, α = 90.00°, β = 90.00° and γ = 90.00°. The distinct sites, in fractional coordinates, are Y at (0.000, 0.000, 0.000), Ho at (0.000, 0.206, 0.381), Al at (0.500, 0.000, 0.348), Al at (0.500, 0.120, 0.706), Ge at (0.500, 0.167, 0.087) and Au at (0.000, 0.000, 0.585).

***

Compound: Li2AlGeAu2
Source: the Open Quantum Materials Database
Functional: PBE
Structure: optimized geometry

It has space group P-6m2 (No. 187), with a = 4.4735 Å, b = 4.4735 Å, c = 5.6962 Å, α = 90.00°, β = 90.00° and γ = 120.00°. The distinct sites, in fractional coordinates, are Li at (0.0000, 0.0000, 0.2486), Al at (0.3333, 0.6667, 0.5000), Ge at (0.6667, 0.3333, 0.0000), Au at (0.3333, 0.6667, 0.0000) and Au at (0.6667, 0.3333, 0.5000).

***

Compound: NdAl4Ge2Au
Source: the Open Quantum Materials Database
Functional: PBE
Structure: optimized geometry

It has space group R-3m (No. 166, hexagonal axes), with a = 4.2627 Å, b = 4.2627 Å, c = 31.5554 Å, α = 90.00°, β = 90.00° and γ = 120.00°. The distinct sites, in fractional coordinates, are Nd at (0.0000, 0.0000, 0.0000), Al at (0.0000, 0.0000, 0.1920), Al at (0.0000, 0.0000, 0.4173), Ge at (0.0000, 0.0000, 0.2756) and Au at (0.0000, 0.0000, 0.5000).

***

Compound: PrAlGeAu2
Source: the Open Quantum Materials Database
Functional: PBE
Structure: optimized geometry

For the energy above the most stable polymorph in this dataset, the calculation gives 0.000 eV/atom.

It has space group P4/nmm (No. 129, origin choice 2), with a = 4.389 Å, b = 4.389 Å, c = 10.823 Å, α = 90.00°, β = 90.00° and γ = 90.00°. The distinct sites, in fractional coordinates, are Pr at (0.250, 0.250, 0.241), Al at (0.250, 0.750, 0.500), Ge at (0.250, 0.250, 0.860), Au at (0.250, 0.250, 0.625) and Au at (0.250, 0.750, 0.000).

***

Compound: PrAlGeAu2
Source: the Open Quantum Materials Database
Functional: PBE
Structure: optimized geometry

For the energy above the most stable polymorph in this dataset, the calculation gives 0.050 eV/atom.

It has space group P4/nmm (No. 129, origin choice 2), with a = 4.514 Å, b = 4.514 Å, c = 10.392 Å, α = 90.00°, β = 90.00° and γ = 90.00°. The distinct sites, in fractional coordinates, are Pr at (0.250, 0.250, 0.248), Al at (0.250, 0.250, 0.625), Ge at (0.250, 0.750, 0.000), Au at (0.250, 0.250, 0.865) and Au at (0.250, 0.750, 0.500).

***

Compound: Tm2ScAl3Ge2Au
Source: the Open Quantum Materials Database
Functional: PBE
Structure: optimized geometry

It has space group Amm2 (No. 38), with a = 4.190 Å, b = 11.912 Å, c = 6.967 Å, α = 90.00°, β = 90.00° and γ = 90.00°. The distinct sites, in fractional coordinates, are Tm at (0.000, 0.208, 0.000), Sc at (0.000, 0.000, 0.625), Al at (0.500, 0.000, 0.969), Al at (0.500, 0.120, 0.331), Ge at (0.500, 0.163, 0.708) and Au at (0.000, 0.000, 0.219).

***

no.,uncorrected energy (eV/atom),calculated volume (Å³ per atom)
1,-4.219,18.22
2,-4.456,20.23
3,-4.882,20.22
4,-3.739,23.57
5,-5.207,21.09
6,-5.099,21.42
7,-4.774,19.10
8,-4.874,20.30
9,-4.864,19.94
10,-5.085,20.44
11,-4.297,18.71
12,-3.912,18.55
13,-4.889,20.38
14,-4.864,20.09
15,-5.094,20.32
16,-3.573,16.45
17,-4.478,20.69
18,-4.632,20.85
19,-4.581,21.18
20,-5.024,19.32